A plane-wave DFT calculation with PBE with a Hubbard U was carried out for a relaxed structure of Li2MnCoO4.

abc: 19.3377 2.9204 5.1954
angles: 90.00 95.30 90.00
With the nearest neighbours (Å) after each atom.
Space group C2/m (No. 12)
Asymmetric unit:
Li  0.0000  0.0000  0.0000 x2  6 O 2.10-2.11
Li  0.0000  0.5000  0.5000 x2  6 O 2.18-2.29
Li  0.2478  0.0000  0.7389 x4  6 O 2.05-2.27
Mn  0.1248  0.5000  0.8724 x4  6 O 1.94-1.97
Co  0.1254  0.0000  0.3719 x4  6 O 2.06-2.16
O  0.0679  0.0000  0.7082 x4  2 Mn 1.97, 3 Li 2.10-2.18, 1 Co 2.16
O  0.0693  0.5000  0.1648 x4  1 Mn 1.94, 2 Co 2.06, 2 Li 2.11
O  0.1811  0.0000  0.0314 x4  2 Mn 1.96, 1 Li 2.08, 1 Co 2.15
O  0.1824  0.5000  0.5822 x4  1 Mn 1.96, 2 Li 2.05, 2 Co 2.08

Values from the calculation:
Its volume is 292.1 Å³/cell. The value obtained for the offset from the most stable computed form is 0.0176 eV/atom.